1.
This record from Alexandria via LeMat-Bulk describes crystalline Nd3Sm8Ho2 at its relaxed geometry. The functional is GGA-PBE. Values from VASP.

```
&SYSTEM
  ibrav = 0, nat = 13, ntyp = 3
/
ATOMIC_SPECIES
Nd 144.24 Nd.upf
Sm 150.36 Sm.upf
Ho 164.93 Ho.upf
CELL_PARAMETERS angstrom
10.175 -3.874 0.000
10.175 3.874 0.000
-0.003 0.000 5.766
ATOMIC_POSITIONS angstrom
Nd 0.000 0.000 0.000
Nd 10.173 1.628 2.883
Nd 10.173 -1.628 2.883
Sm 2.754 0.000 2.881
Sm 7.968 1.616 5.765
Sm 6.640 0.000 2.878
Sm 12.379 1.616 0.001
Sm 7.968 -1.616 5.765
Sm 13.706 0.000 2.889
Sm 12.379 -1.616 0.001
Sm 17.592 0.000 2.886
Ho 4.911 0.000 5.760
Ho 15.435 0.000 0.007
```

Crystal system: monoclinic
Fermi-level density of states, states/eV per cell: 20.4
Energy of formation from the pure elements, eV per atom: 0.224

---

2.
This record from Alexandria via LeMat-Bulk describes crystalline Nd3Sm5Ho3 at its relaxed geometry. The functional is GGA-PBE. Values from VASP.

```
&SYSTEM
  ibrav = 0, nat = 11, ntyp = 3
/
ATOMIC_SPECIES
Nd 144.24 Nd.upf
Sm 150.36 Sm.upf
Ho 164.93 Ho.upf
CELL_PARAMETERS angstrom
11.326 0.000 0.000
-5.663 9.808 0.000
0.000 0.000 3.463
ATOMIC_POSITIONS angstrom
Nd -3.380 5.854 0.000
Nd 2.283 3.954 0.000
Nd 6.760 0.000 0.000
Sm -1.912 3.311 1.731
Sm 0.000 6.539 1.731
Sm 3.824 0.000 1.731
Sm 3.751 6.497 1.731
Sm 5.663 3.269 1.731
Ho -4.763 8.250 1.731
Ho 0.900 1.558 1.731
Ho 9.526 0.000 1.731
```

Crystal system: hexagonal
Fermi-level density of states, states/eV per cell: 18.4
Energy of formation from the pure elements, eV per atom: 0.331